MnBiBr2 after structural relaxation. Source: Alexandria via LeMat-Bulk, functional PBE.

Calculated values
Energy above the most stable polymorph in this dataset ... 444 meV per atom
Density of states at the Fermi level ... 6.60 states/eV/f.u.
Raw formation energy ... 2.25 eV/f.u.

Cell and atoms, written as POSCAR:
```
MnBiBr2
1.0
6.918 0.000 0.000
0.000 6.918 0.000
3.459 3.459 4.870
Bi Br Mn
2 4 2
Cartesian
6.918 3.459 2.435 Bi
0.000 0.000 0.000 Bi
4.353 1.729 1.217 Br
5.188 6.024 3.652 Br
8.647 7.812 3.652 Br
2.565 5.188 1.217 Br
3.459 6.918 2.435 Mn
3.459 3.459 0.000 Mn
```

=====

Mn3BiBr9 after structural relaxation. Source: Alexandria via LeMat-Bulk, functional PBE.

Calculated values
Density of states at the Fermi level ... 0.00 states/eV/f.u.
Raw formation energy ... -9.30 eV/f.u.

Cell and atoms, written as POSCAR:
```
Mn3BiBr9
1.0
8.954 0.000 3.768
4.083 9.474 2.821
0.328 -0.181 11.744
Bi Br Mn
2 18 6
Cartesian
2.230 4.711 1.574 Bi
8.475 9.357 10.557 Bi
3.804 1.711 5.549 Br
9.627 2.693 6.779 Br
6.104 8.548 4.650 Br
4.533 6.358 12.210 Br
5.362 2.267 9.069 Br
8.536 7.339 12.675 Br
2.974 5.544 4.210 Br
3.196 5.355 8.092 Br
7.683 0.709 3.625 Br
7.028 7.421 8.853 Br
9.553 7.094 5.581 Br
6.476 4.654 5.913 Br
11.324 8.783 10.112 Br
9.839 3.955 14.738 Br
1.987 0.716 9.046 Br
8.439 3.720 10.884 Br
11.358 9.300 14.322 Br
4.788 2.594 13.161 Br
4.015 4.157 6.036 Mn
12.991 8.804 16.168 Mn
9.730 5.130 12.528 Mn
7.157 7.029 6.382 Mn
6.465 2.202 11.341 Mn
8.897 0.483 5.823 Mn
```

=====

MnBi2Br2 after structural relaxation. Source: Alexandria via LeMat-Bulk, functional PBE.

Calculated values
Energy above the most stable polymorph in this dataset ... 80 meV per atom
Density of states at the Fermi level ... 2.50 states/eV/f.u.
Raw formation energy ... 2.03 eV/f.u.

Cell and atoms, written as POSCAR:
```
MnBi2Br2
1.0
-4.542 -8.338 0.243
4.869 -2.426 7.786
-2.361 1.341 1.894
Bi Br Mn
4 4 2
Cartesian
-3.353 -6.752 3.496 Bi
-0.443 -7.093 7.363 Bi
1.319 -2.670 6.427 Bi
-1.591 -2.330 2.560 Bi
2.559 -5.300 6.942 Br
1.303 -1.924 2.986 Br
-2.232 -5.463 1.087 Br
-0.976 -8.840 5.043 Br
0.163 -5.382 4.014 Mn
0.000 0.000 0.000 Mn
```

=====

Mn3BiBr after structural relaxation. Source: Alexandria via LeMat-Bulk, functional PBE.

Calculated values
Energy above the most stable polymorph in this dataset ... 0 meV per atom
Density of states at the Fermi level ... 4.97 states/eV/f.u.
Raw formation energy ... 4.53 eV/f.u.

Cell and atoms, written as POSCAR:
```
Mn3BiBr
1.0
-2.790 -3.859 -0.607
1.368 -0.267 -4.594
3.659 -2.843 1.255
Br Bi Mn
1 1 3
Cartesian
0.000 0.000 0.000 Br
1.119 -3.485 -1.973 Bi
1.830 -1.421 0.628 Mn
0.684 -0.134 -2.297 Mn
-1.395 -1.930 -0.303 Mn
```